Compound: ZrAl2As
Source: the Alexandria database
Functional: PBE
Structure: relaxed

The structure in POSCAR format:
```
ZrAl2As
1.0
-7.6142 2.6615 -3.6667
-8.2302 -0.4511 -3.2503
-8.6734 1.6044 -0.8380
As Al Zr
1 2 1
direct
0.2500 0.2500 0.2500
0.5073 0.5073 0.5073
0.9927 0.9927 0.9927
0.7500 0.7500 0.7500
```

ΔE_f   -0.089 eV per atom
Spin magnetization   0.00 μB per atom